*P*
The following is a DFT calculation (PBE) of an optimized crystal structure of AlCdInSe4.

Output
ρ, g/cm3: 5.3

abc: 7.9613 7.9613 11.2139
angles: 90.00 90.00 90.00
With the nearest neighbours (Å) after each atom.
Atoms (fractional coordinates):
Se1 0.7459 0.5102 0.9970  1 Al 2.48
Se2 0.0029 0.2514 0.7515  1 Al 2.45
Se3 0.9971 0.7486 0.2515  1 Al 2.45
Se4 0.2541 0.4898 0.4970  1 Al 2.48
Se5 0.7486 0.9971 0.4985  1 Al 2.45
Se6 0.4898 0.7459 0.2470  1 Al 2.48
Se7 0.0029 0.7486 0.7485  1 Al 2.45
Se8 0.2514 0.0029 0.9985  1 Al 2.45
Se9 0.5102 0.7459 0.7530  1 Al 2.48
Se10 0.7486 0.0029 0.0015  1 Al 2.45
Se11 0.2541 0.5102 0.0030  1 Al 2.48
Se12 0.4898 0.2541 0.2530  1 Al 2.48
Se13 0.9971 0.2514 0.2485  1 Al 2.45
Se14 0.2514 0.9971 0.5015  1 Al 2.45
Se15 0.5102 0.2541 0.7470  1 Al 2.48
Se16 0.7459 0.4898 0.5030  1 Al 2.48
In1 0.5000 0.2371 0.5000  6 Se 2.75-2.81
In2 0.5000 0.7629 0.0000  6 Se 2.75-2.81
In3 0.2371 0.5000 0.2500  6 Se 2.75-2.81
In4 0.7629 0.5000 0.7500  6 Se 2.75-2.81
Cd1 0.0000 0.7569 0.0000  6 Se 2.80-2.82
Cd2 0.7569 0.0000 0.7500  6 Se 2.80-2.82
Cd3 0.2431 0.0000 0.2500  6 Se 2.80-2.82
Cd4 0.0000 0.2431 0.5000  6 Se 2.80-2.82
Al1 0.2568 0.7432 0.6250  4 Se 2.45-2.48
Al2 0.7432 0.2568 0.1250  4 Se 2.45-2.48
Al3 0.7432 0.7432 0.3750  4 Se 2.45-2.48
Al4 0.2568 0.2568 0.8750  4 Se 2.45-2.48

***

*Q*
The following is a DFT calculation (PBE) of an optimized crystal structure of AlCdInSe4.

Output
ρ, g/cm3: 5.3

abc: 7.9503 7.9503 11.2503
angles: 90.00 90.00 90.00
With the nearest neighbours (Å) after each atom.
Atoms (fractional coordinates):
Cd1 0.7489 0.7489 0.8750  4 Se 2.67
Cd2 0.2511 0.2511 0.3750  4 Se 2.67
Cd3 0.7489 0.2511 0.6250  4 Se 2.67
Cd4 0.2511 0.7489 0.1250  4 Se 2.67
Al1 0.0000 0.7605 0.5000  6 Se 2.59-2.60
Al2 0.0000 0.2395 0.0000  6 Se 2.59-2.60
Al3 0.7605 0.0000 0.2500  6 Se 2.59-2.60
Al4 0.2395 0.0000 0.7500  6 Se 2.59-2.60
Se1 0.9857 0.2346 0.2302  2 Al 2.59, 1 Cd 2.67, 1 In 2.78
Se2 0.7654 0.0143 0.0198  2 Al 2.59, 1 Cd 2.67, 1 In 2.78
Se3 0.5328 0.2353 0.2464  1 Al 2.60, 1 Cd 2.67, 2 In 2.78
Se4 0.7647 0.5328 0.4964  1 Al 2.60, 1 Cd 2.67, 2 In 2.78
Se5 0.5328 0.7647 0.2536  1 Al 2.60, 1 Cd 2.67, 2 In 2.78
Se6 0.7647 0.4672 0.0036  1 Al 2.60, 1 Cd 2.67, 2 In 2.78
Se7 0.0143 0.2346 0.7698  2 Al 2.59, 1 Cd 2.67, 1 In 2.78
Se8 0.7654 0.9857 0.4802  2 Al 2.59, 1 Cd 2.67, 1 In 2.78
Se9 0.9857 0.7654 0.2698  2 Al 2.59, 1 Cd 2.67, 1 In 2.78
Se10 0.2353 0.4672 0.9964  1 Al 2.60, 1 Cd 2.67, 2 In 2.78
Se11 0.2353 0.5328 0.5036  1 Al 2.60, 1 Cd 2.67, 2 In 2.78
Se12 0.0143 0.7654 0.7302  2 Al 2.59, 1 Cd 2.67, 1 In 2.78
Se13 0.2346 0.0143 0.9802  2 Al 2.59, 1 Cd 2.67, 1 In 2.78
Se14 0.4672 0.7647 0.7464  1 Al 2.60, 1 Cd 2.67, 2 In 2.78
Se15 0.2346 0.9857 0.5198  2 Al 2.59, 1 Cd 2.67, 1 In 2.78
Se16 0.4672 0.2353 0.7536  1 Al 2.60, 1 Cd 2.67, 2 In 2.78
In1 0.7606 0.5000 0.2500  6 Se 2.78
In2 0.5000 0.7606 0.5000  6 Se 2.78
In3 0.2394 0.5000 0.7500  6 Se 2.78
In4 0.5000 0.2394 0.0000  6 Se 2.78

***

*R*
The following is a DFT calculation (PBE) of an optimized crystal structure of AlCdInSe4.

Output
ρ, g/cm3: 5.3

abc: 8.0174 8.0174 11.0904
angles: 90.00 90.00 90.00
With the nearest neighbours (Å) after each atom.
Atoms (fractional coordinates):
Se1 0.9733 0.2665 0.7527  1 Al 2.59, 1 In 2.65, 2 Cd 2.78-2.81
Se2 0.7335 0.9733 0.0027  1 Al 2.59, 1 In 2.65, 2 Cd 2.78-2.81
Se3 0.7331 0.5235 0.9819  2 Al 2.58-2.61, 1 In 2.67, 1 Cd 2.82
Se4 0.7331 0.4765 0.5181  2 Al 2.58-2.61, 1 In 2.67, 1 Cd 2.82
Se5 0.2669 0.4765 0.4819  2 Al 2.58-2.61, 1 In 2.67, 1 Cd 2.82
Se6 0.4765 0.7331 0.2319  2 Al 2.58-2.61, 1 In 2.67, 1 Cd 2.82
Se7 0.5235 0.2669 0.7319  2 Al 2.58-2.61, 1 In 2.67, 1 Cd 2.82
Se8 0.4765 0.2669 0.2681  2 Al 2.58-2.61, 1 In 2.67, 1 Cd 2.82
Se9 0.9733 0.7335 0.7473  1 Al 2.59, 1 In 2.65, 2 Cd 2.78-2.81
Se10 0.2669 0.5235 0.0181  2 Al 2.58-2.61, 1 In 2.67, 1 Cd 2.82
Se11 0.0267 0.7335 0.2527  1 Al 2.59, 1 In 2.65, 2 Cd 2.78-2.81
Se12 0.0267 0.2665 0.2473  1 Al 2.59, 1 In 2.65, 2 Cd 2.78-2.81
Se13 0.2665 0.0267 0.5027  1 Al 2.59, 1 In 2.65, 2 Cd 2.78-2.81
Se14 0.7335 0.0267 0.4973  1 Al 2.59, 1 In 2.65, 2 Cd 2.78-2.81
Se15 0.2665 0.9733 0.9973  1 Al 2.59, 1 In 2.65, 2 Cd 2.78-2.81
Se16 0.5235 0.7331 0.7681  2 Al 2.58-2.61, 1 In 2.67, 1 Cd 2.82
Al1 0.7502 0.5000 0.7500  6 Se 2.58-2.61
Al2 0.5000 0.2498 0.5000  6 Se 2.58-2.61
Al3 0.2498 0.5000 0.2500  6 Se 2.58-2.61
Al4 0.5000 0.7502 0.0000  6 Se 2.58-2.61
In1 0.7435 0.7435 0.3750  4 Se 2.65-2.67
In2 0.2565 0.2565 0.8750  4 Se 2.65-2.67
In3 0.2565 0.7435 0.6250  4 Se 2.65-2.67
In4 0.7435 0.2565 0.1250  4 Se 2.65-2.67
Cd1 0.7509 0.0000 0.7500  6 Se 2.78-2.82
Cd2 0.0000 0.2491 0.5000  6 Se 2.78-2.82
Cd3 0.2491 0.0000 0.2500  6 Se 2.78-2.82
Cd4 0.0000 0.7509 0.0000  6 Se 2.78-2.82

***

The most stable arrangement is *Q*, and the next structure is 0.046 eV/atom less stable.

***

*P*
The following is a DFT calculation (PBE) of an optimized crystal structure of AlCdInTe4.

Output
ρ, g/cm3: 5.7

abc: 8.7482 8.7482 11.7343
angles: 90.00 90.00 90.00
With the nearest neighbours (Å) after each atom.
Atoms (fractional coordinates):
Te1 0.9730 0.7630 0.2635  2 Al 2.79-2.85, 1 In 2.88, 1 Cd 3.03
Te2 0.4716 0.2370 0.7472  1 Al 2.84, 1 In 2.87, 2 Cd 2.98-3.00
Te3 0.7630 0.9730 0.4865  2 Al 2.79-2.85, 1 In 2.88, 1 Cd 3.03
Te4 0.2370 0.0270 0.9865  2 Al 2.79-2.85, 1 In 2.88, 1 Cd 3.03
Te5 0.2370 0.9730 0.5135  2 Al 2.79-2.85, 1 In 2.88, 1 Cd 3.03
Te6 0.7630 0.0270 0.0135  2 Al 2.79-2.85, 1 In 2.88, 1 Cd 3.03
Te7 0.7630 0.4716 0.9972  1 Al 2.84, 1 In 2.87, 2 Cd 2.98-3.00
Te8 0.5284 0.2370 0.2528  1 Al 2.84, 1 In 2.87, 2 Cd 2.98-3.00
Te9 0.4716 0.7630 0.7528  1 Al 2.84, 1 In 2.87, 2 Cd 2.98-3.00
Te10 0.2370 0.5284 0.4972  1 Al 2.84, 1 In 2.87, 2 Cd 2.98-3.00
Te11 0.0270 0.7630 0.7365  2 Al 2.79-2.85, 1 In 2.88, 1 Cd 3.03
Te12 0.7630 0.5284 0.5028  1 Al 2.84, 1 In 2.87, 2 Cd 2.98-3.00
Te13 0.0270 0.2370 0.7635  2 Al 2.79-2.85, 1 In 2.88, 1 Cd 3.03
Te14 0.5284 0.7630 0.2472  1 Al 2.84, 1 In 2.87, 2 Cd 2.98-3.00
Te15 0.9730 0.2370 0.2365  2 Al 2.79-2.85, 1 In 2.88, 1 Cd 3.03
Te16 0.2370 0.4716 0.0028  1 Al 2.84, 1 In 2.87, 2 Cd 2.98-3.00
Al1 0.7494 0.0000 0.2500  6 Te 2.79-2.85
Al2 0.2506 0.0000 0.7500  6 Te 2.79-2.85
Al3 0.0000 0.2506 0.0000  6 Te 2.79-2.85
Al4 0.0000 0.7494 0.5000  6 Te 2.79-2.85
In1 0.7554 0.7554 0.8750  4 Te 2.87-2.88
In2 0.2446 0.2446 0.3750  4 Te 2.87-2.88
In3 0.7554 0.2446 0.6250  4 Te 2.87-2.88
In4 0.2446 0.7554 0.1250  4 Te 2.87-2.88
Cd1 0.5000 0.7476 0.5000  6 Te 2.98-3.03
Cd2 0.2524 0.5000 0.7500  6 Te 2.98-3.03
Cd3 0.5000 0.2524 0.0000  6 Te 2.98-3.03
Cd4 0.7476 0.5000 0.2500  6 Te 2.98-3.03

***

*Q*
The following is a DFT calculation (PBE) of an optimized crystal structure of AlCdInTe4.

Output
ρ, g/cm3: 5.2

abc: 7.6239 7.6239 7.6239
angles: 131.53 131.53 70.97
With the nearest neighbours (Å) after each atom.
Atoms (fractional coordinates):
Cd1 0.0000 0.0000 0.0000  4 Te 2.87
Te1 0.8918 0.8416 0.4697  1 Al 2.65, 1 In 2.85, 1 Cd 2.87
Te2 0.1584 0.6281 0.0502  1 Al 2.65, 1 In 2.85, 1 Cd 2.87
Te3 0.3719 0.4221 0.5303  1 Al 2.65, 1 In 2.85, 1 Cd 2.87
Te4 0.5779 0.1082 0.9498  1 Al 2.65, 1 In 2.85, 1 Cd 2.87
In1 0.7500 0.2500 0.5000  4 Te 2.85
Al1 0.5000 0.5000 0.0000  4 Te 2.65

***

The most stable arrangement is *Q*, and the next structure is 0.121 eV/atom less stable.

***

*P*
The following is a DFT calculation (PBE) of an optimized crystal structure of LiMgAlCd.

Output
ρ, g/cm3: 3.8

abc: 4.7059 4.7059 4.7059
angles: 60.00 60.00 60.00
With the nearest neighbours (Å) after each atom.
Atoms (fractional coordinates):
Mg1 0.0000 0.0000 0.0000  4 Li 2.88, 4 Cd 2.88
Li1 0.7500 0.7500 0.7500  4 Mg 2.88, 4 Al 2.88
Cd1 0.2500 0.2500 0.2500  4 Al 2.88, 4 Mg 2.88
Al1 0.5000 0.5000 0.5000  4 Cd 2.88, 4 Li 2.88

***

*Q*
The following is a DFT calculation (PBE) of an optimized crystal structure of LiMgAlCd.

Output
ρ, g/cm3: 3.8

abc: 4.7163 4.7163 4.7163
angles: 60.00 60.00 60.00
With the nearest neighbours (Å) after each atom.
Atoms (fractional coordinates):
Al1 0.2500 0.2500 0.2500  4 Mg 2.89, 4 Cd 2.89
Li1 0.7500 0.7500 0.7500  4 Cd 2.89, 4 Mg 2.89
Mg1 0.5000 0.5000 0.5000  4 Al 2.89, 4 Li 2.89
Cd1 0.0000 0.0000 0.0000  4 Li 2.89, 4 Al 2.89

***

The most stable arrangement is *Q*, and the next structure is 0.012 eV/atom less stable.

***

*P*
The following is a DFT calculation (PBE) of an optimized crystal structure of LiAlZnCd.

Output
ρ, g/cm3: 5.1

abc: 4.5957 4.5957 4.5957
angles: 60.00 60.00 60.00
With the nearest neighbours (Å) after each atom.
Atoms (fractional coordinates):
Zn1 0.5000 0.5000 0.5000  4 Cd 2.81, 4 Li 2.81
Cd1 0.2500 0.2500 0.2500  4 Zn 2.81, 4 Al 2.81
Li1 0.7500 0.7500 0.7500  4 Al 2.81, 4 Zn 2.81
Al1 0.0000 0.0000 0.0000  4 Li 2.81, 4 Cd 2.81

***

*Q*
The following is a DFT calculation (PBE) of an optimized crystal structure of LiAlZnCd.

Output
ρ, g/cm3: 5.2

abc: 4.5660 4.5660 4.5660
angles: 60.00 60.00 60.00
With the nearest neighbours (Å) after each atom.
Atoms (fractional coordinates):
Zn1 0.5000 0.5000 0.5000  4 Al 2.80, 4 Li 2.80
Cd1 0.0000 0.0000 0.0000  4 Li 2.80, 4 Al 2.80
Al1 0.2500 0.2500 0.2500  4 Zn 2.80, 4 Cd 2.80
Li1 0.7500 0.7500 0.7500  4 Cd 2.80, 4 Zn 2.80

***

The most stable arrangement is *Q*, and the next structure is 0.059 eV/atom less stable.